1.
Density functional theory data (PBE-GGA) for a geometry-optimized Np2H2BrCl3 structure.

Results
The value obtained for the magnetization is 1.0028 μB/atom.

Unit cell a=3.815 b=3.815 c=13.594 alpha=90.00 beta=90.00 gamma=120.00
Atoms (fractional coordinates):
1 Np 0.000 0.000 0.000
2 Np 0.000 0.000 0.494
3 H 0.333 0.667 0.494
4 H 0.667 0.333 0.997
5 Br 0.333 0.667 0.854
6 Cl 0.333 0.667 0.131
7 Cl 0.667 0.333 0.363
8 Cl 0.667 0.333 0.625

---

2.
Density functional theory data (PBE-GGA) for a geometry-optimized Np2H2Br3Cl structure.

Results
The value obtained for the magnetization is 1.0001 μB/atom.

Unit cell a=3.854 b=3.854 c=14.295 alpha=90.00 beta=90.00 gamma=120.00
Atoms (fractional coordinates):
1 Np 0.000 0.000 0.000
2 Np 0.000 0.000 0.493
3 H 0.333 0.667 0.998
4 H 0.667 0.333 0.494
5 Br 0.333 0.667 0.356
6 Br 0.333 0.667 0.631
7 Br 0.667 0.333 0.862
8 Cl 0.667 0.333 0.124

---

3.
Density functional theory data (PBE-GGA) for a geometry-optimized Pr2H2BrClO2 structure.

Results
The value obtained for the magnetization is 0.0530 μB/atom.

Unit cell a=3.974 b=3.974 c=10.198 alpha=90.00 beta=90.00 gamma=120.00
Atoms (fractional coordinates):
1 Pr 0.000 0.000 0.000
2 Pr 0.333 0.667 0.472
3 H 0.667 0.333 0.284
4 H 0.667 0.333 0.806
5 Br 0.000 0.000 0.670
6 Cl 0.333 0.667 0.175
7 O 0.667 0.333 0.381
8 O 0.667 0.333 0.901

---

4.
Density functional theory data (PBE-GGA) for a geometry-optimized Sm2H2BrClO2 structure.

Results
The value obtained for the magnetization is 0.1143 μB/atom.

Unit cell a=3.945 b=3.945 c=9.802 alpha=90.00 beta=90.00 gamma=120.00
Atoms (fractional coordinates):
1 Sm 0.000 0.000 0.000
2 Sm 0.333 0.667 0.475
3 H 0.667 0.333 0.294
4 H 0.667 0.333 0.813
5 Br 0.000 0.000 0.676
6 Cl 0.333 0.667 0.175
7 O 0.667 0.333 0.395
8 O 0.667 0.333 0.913

---

5.
Density functional theory data (PBE-GGA) for a geometry-optimized Pr2H2Br3Cl structure.

Results
The value obtained for the magnetization is 0.0001 μB/atom.

Unit cell a=4.026 b=4.026 c=14.244 alpha=90.00 beta=90.00 gamma=120.00
Atoms (fractional coordinates):
1 Pr 0.000 0.000 0.000
2 Pr 0.000 0.000 0.495
3 H 0.333 0.667 0.495
4 H 0.667 0.333 0.997
5 Br 0.333 0.667 0.862
6 Br 0.667 0.333 0.357
7 Br 0.667 0.333 0.633
8 Cl 0.333 0.667 0.124

---

6.
Density functional theory data (PBE-GGA) for a geometry-optimized Pu2H2Br3Cl structure.

Results
The value obtained for the magnetization is 1.2500 μB/atom.

Unit cell a=3.885 b=3.885 c=14.186 alpha=90.00 beta=90.00 gamma=120.00
Atoms (fractional coordinates):
1 Pu 0.000 0.000 0.000
2 Pu 0.000 0.000 0.494
3 H 0.333 0.667 0.495
4 H 0.667 0.333 0.997
5 Br 0.333 0.667 0.863
6 Br 0.667 0.333 0.358
7 Br 0.667 0.333 0.631
8 Cl 0.333 0.667 0.123

---

7.
Density functional theory data (PBE-GGA) for a geometry-optimized Tm2H2Br3Cl structure.

Results
The value obtained for the magnetization is 0.0000 μB/atom.

Unit cell a=3.749 b=3.749 c=14.887 alpha=90.00 beta=90.00 gamma=120.00
Atoms (fractional coordinates):
1 Tm 0.000 0.000 0.000
2 Tm 0.000 0.000 0.496
3 H 0.333 0.667 0.000
4 H 0.667 0.333 0.497
5 Br 0.333 0.667 0.624
6 Br 0.667 0.333 0.128
7 Br 0.667 0.333 0.872
8 Cl 0.333 0.667 0.381

---

8.
Density functional theory data (PBE-GGA) for a geometry-optimized U2H2BrCl3 structure.

Results
The value obtained for the magnetization is 0.7507 μB/atom.

Unit cell a=3.765 b=3.765 c=13.927 alpha=90.00 beta=90.00 gamma=120.00
Atoms (fractional coordinates):
1 U 0.000 0.000 0.000
2 U 0.000 0.000 0.495
3 H 0.333 0.667 0.998
4 H 0.667 0.333 0.495
5 Br 0.667 0.333 0.855
6 Cl 0.333 0.667 0.364
7 Cl 0.333 0.667 0.626
8 Cl 0.667 0.333 0.131

---

9.
Density functional theory data (PBE-GGA) for a geometry-optimized U2H2Br3Cl structure.

Results
The value obtained for the magnetization is 0.7511 μB/atom.

Unit cell a=3.799 b=3.799 c=14.520 alpha=90.00 beta=90.00 gamma=120.00
Atoms (fractional coordinates):
1 U 0.000 0.000 0.000
2 U 0.000 0.000 0.495
3 H 0.333 0.667 0.495
4 H 0.667 0.333 0.998
5 Br 0.333 0.667 0.861
6 Br 0.667 0.333 0.356
7 Br 0.667 0.333 0.634
8 Cl 0.333 0.667 0.125

---

10.
Density functional theory data (PBE-GGA) for a geometry-optimized HfBrCl structure.

Results
Its relative energy among the computed polymorphs is 1.186 eV per atom. The value obtained for the magnetization is 0.0011 μB/atom.

Unit cell a=8.461 b=8.461 c=3.261 alpha=90.00 beta=90.00 gamma=120.00
Atoms (fractional coordinates):
1 Hf 0.000 0.544 0.000
2 Hf 0.456 0.456 0.000
3 Hf 0.544 0.000 0.000
4 Br 0.000 0.293 0.500
5 Br 0.293 0.000 0.500
6 Br 0.707 0.707 0.500
7 Cl 0.000 0.000 0.000
8 Cl 0.333 0.667 0.500
9 Cl 0.667 0.333 0.500

---

11.
Density functional theory data (PBE-GGA) for a geometry-optimized Hf2BrCl structure.

Results
The value obtained for the magnetization is 0.0003 μB/atom.

Unit cell a=3.435 b=3.435 c=27.760 alpha=90.00 beta=90.00 gamma=120.00
Atoms (fractional coordinates):
1 Hf 0.000 0.000 0.000
2 Hf 0.000 0.000 0.251
3 Hf 0.333 0.667 0.667
4 Hf 0.333 0.667 0.918
5 Hf 0.667 0.333 0.333
6 Hf 0.667 0.333 0.585
7 Br 0.000 0.000 0.516
8 Br 0.333 0.667 0.182
9 Br 0.667 0.333 0.849
10 Cl 0.000 0.000 0.729
11 Cl 0.333 0.667 0.396
12 Cl 0.667 0.333 0.063

---

12.
Density functional theory data (PBE-GGA) for a geometry-optimized HfBrCl structure.

Results
Its relative energy among the computed polymorphs is 0.000 eV per atom. The value obtained for the magnetization is 0.0000 μB/atom.

Unit cell a=15.302 b=3.416 c=5.894 alpha=90.00 beta=95.03 gamma=90.00
Atoms (fractional coordinates):
1 Hf 0.000 0.000 0.000
2 Hf 0.000 0.500 0.500
3 Hf 0.500 0.000 0.500
4 Hf 0.500 0.500 0.000
5 Br 0.124 0.000 0.694
6 Br 0.376 0.000 0.138
7 Br 0.624 0.500 0.694
8 Br 0.876 0.500 0.138
9 Cl 0.110 0.500 0.192
10 Cl 0.390 0.500 0.642
11 Cl 0.610 0.000 0.192
12 Cl 0.890 0.000 0.642

---

13.
Density functional theory data (PBE-GGA) for a geometry-optimized HfSe4Br2Cl4 structure.

Results
The value obtained for the magnetization is 0.0001 μB/atom.

Unit cell a=7.449 b=7.583 c=8.144 alpha=62.39 beta=86.38 gamma=61.27
Atoms (fractional coordinates):
1 Hf 0.000 0.000 0.000
2 Se 0.318 0.120 0.315
3 Se 0.387 0.250 0.497
4 Se 0.613 0.750 0.503
5 Se 0.682 0.880 0.685
6 Br 0.040 0.369 0.790
7 Br 0.960 0.631 0.210
8 Cl 0.133 0.860 0.781
9 Cl 0.363 0.791 0.173
10 Cl 0.637 0.209 0.827
11 Cl 0.867 0.140 0.219

---

14.
Density functional theory data (PBE-GGA) for a geometry-optimized HfTe4Br2Cl4 structure.

Results
The value obtained for the magnetization is 0.0001 μB/atom.

Unit cell a=7.718 b=7.959 c=8.532 alpha=62.44 beta=69.37 gamma=61.54
Atoms (fractional coordinates):
1 Hf 0.000 0.000 0.000
2 Te 0.307 0.426 0.709
3 Te 0.386 0.771 0.505
4 Te 0.614 0.229 0.495
5 Te 0.693 0.574 0.291
6 Br 0.041 0.165 0.189
7 Br 0.959 0.835 0.811
8 Cl 0.125 0.662 0.222
9 Cl 0.347 0.958 0.842
10 Cl 0.653 0.042 0.158
11 Cl 0.875 0.338 0.778

---

15.
Density functional theory data (PBE-GGA) for a geometry-optimized HgBrCl structure.

Unit cell a=6.557 b=4.875 c=6.827 alpha=90.00 beta=101.47 gamma=90.00
Atoms (fractional coordinates):
1 Hg 0.003 0.250 0.249
2 Hg 0.997 0.750 0.751
3 Br 0.254 0.250 0.572
4 Br 0.746 0.750 0.428
5 Cl 0.228 0.750 0.064
6 Cl 0.772 0.250 0.936

---

16.
Density functional theory data (PBE-GGA) for a geometry-optimized HgBrCl structure.

Unit cell a=4.215 b=4.215 c=11.536 alpha=90.00 beta=90.00 gamma=90.00
Atoms (fractional coordinates):
1 Hg 0.000 0.000 0.000
2 Hg 0.500 0.500 0.500
3 Br 0.000 0.500 0.143
4 Br 0.500 0.000 0.857
5 Cl 0.000 0.500 0.625
6 Cl 0.500 0.000 0.375

---

17.
Density functional theory data (PBE-GGA) for a geometry-optimized HgPb2BrClO2 structure.

Unit cell a=11.974 b=3.978 c=7.945 alpha=90.00 beta=122.51 gamma=90.00
Atoms (fractional coordinates):
1 Hg 0.000 0.000 0.000
2 Hg 0.500 0.500 0.000
3 Pb 0.181 0.000 0.748
4 Pb 0.315 0.500 0.234
5 Pb 0.681 0.500 0.748
6 Pb 0.815 0.000 0.234
7 Br 0.427 0.000 0.650
8 Br 0.927 0.500 0.650
9 Cl 0.065 0.500 0.329
10 Cl 0.565 0.000 0.329
11 O 0.192 0.000 0.060
12 O 0.305 0.500 0.926
13 O 0.692 0.500 0.060
14 O 0.805 0.000 0.926

---

18.
Density functional theory data (PBE-GGA) for a geometry-optimized Rb2Hg2PdBr6Cl2 structure.

Unit cell a=7.086 b=7.086 c=10.419 alpha=106.27 beta=106.27 gamma=62.82
Atoms (fractional coordinates):
1 Rb 0.103 0.103 0.324
2 Rb 0.897 0.897 0.676
3 Hg 0.365 0.365 0.104
4 Hg 0.635 0.635 0.896
5 Pd 0.500 0.500 0.500
6 Br 0.130 0.605 0.364
7 Br 0.395 0.870 0.636
8 Br 0.416 0.416 0.807
9 Br 0.584 0.584 0.193
10 Br 0.605 0.130 0.364
11 Br 0.870 0.395 0.636
12 Cl 0.158 0.158 0.004
13 Cl 0.842 0.842 0.996

---

19.
Density functional theory data (PBE-GGA) for a geometry-optimized Rb2Hg2PdBr6Cl2 structure.

Unit cell a=7.070 b=7.070 c=10.551 alpha=105.83 beta=105.83 gamma=62.46
Atoms (fractional coordinates):
1 Rb 0.106 0.106 0.332
2 Rb 0.894 0.894 0.668
3 Hg 0.370 0.370 0.106
4 Hg 0.630 0.630 0.894
5 Pd 0.500 0.500 0.500
6 Br 0.133 0.606 0.365
7 Br 0.154 0.154 0.001
8 Br 0.394 0.867 0.635
9 Br 0.606 0.133 0.365
10 Br 0.846 0.846 0.999
11 Br 0.867 0.394 0.635
12 Cl 0.423 0.423 0.816
13 Cl 0.577 0.577 0.184

---

20.
Density functional theory data (PBE-GGA) for a geometry-optimized Hg6S4Br3Cl structure.

Unit cell a=10.341 b=10.341 c=10.561 alpha=113.26 beta=113.26 gamma=54.25
Atoms (fractional coordinates):
1 Hg 0.107 0.632 0.996
2 Hg 0.155 0.696 0.702
3 Hg 0.281 0.281 0.710
4 Hg 0.304 0.845 0.298
5 Hg 0.368 0.893 0.004
6 Hg 0.425 0.425 0.276
7 Hg 0.575 0.575 0.724
8 Hg 0.632 0.107 0.996
9 Hg 0.696 0.155 0.702
10 Hg 0.719 0.719 0.290
11 Hg 0.845 0.304 0.298
12 Hg 0.893 0.368 0.004
13 S 0.045 0.560 0.738
14 S 0.174 0.690 0.254
15 S 0.310 0.826 0.746
16 S 0.440 0.955 0.262
17 S 0.560 0.045 0.738
18 S 0.690 0.174 0.254
19 S 0.826 0.310 0.746
20 S 0.955 0.440 0.262
21 Br 0.000 0.000 0.000
22 Br 0.251 0.251 0.997
23 Br 0.379 0.379 0.511
24 Br 0.500 0.500 0.000
25 Br 0.621 0.621 0.489
26 Br 0.749 0.749 0.003
27 Cl 0.122 0.122 0.489
28 Cl 0.878 0.878 0.511

---

21.
Density functional theory data (PBE-GGA) for a geometry-optimized HoBr2Cl structure.

Results
The value obtained for the magnetization is 0.0002 μB/atom.

Unit cell a=7.189 b=12.095 c=7.075 alpha=90.00 beta=109.80 gamma=90.00
Atoms (fractional coordinates):
1 Ho 0.000 0.165 0.000
2 Ho 0.000 0.835 0.000
3 Ho 0.500 0.335 0.000
4 Ho 0.500 0.665 0.000
5 Br 0.240 0.178 0.760
6 Br 0.240 0.822 0.760
7 Br 0.260 0.322 0.240
8 Br 0.260 0.678 0.240
9 Br 0.740 0.322 0.760
10 Br 0.740 0.678 0.760
11 Br 0.760 0.178 0.240
12 Br 0.760 0.822 0.240
13 Cl 0.199 0.000 0.223
14 Cl 0.301 0.500 0.777
15 Cl 0.699 0.500 0.223
16 Cl 0.801 0.000 0.777

---

22.
Density functional theory data (PBE-GGA) for a geometry-optimized Ho4IBr2NCl2 structure.

Results
The value obtained for the magnetization is 0.0000 μB/atom.

Unit cell a=8.631 b=8.631 c=8.363 alpha=104.01 beta=104.01 gamma=25.05
Atoms (fractional coordinates):
1 Ho 0.001 0.001 0.311
2 Ho 0.358 0.358 0.430
3 Ho 0.642 0.642 0.570
4 Ho 0.999 0.999 0.689
5 I 0.500 0.500 0.000
6 Br 0.172 0.172 0.832
7 Br 0.828 0.828 0.168
8 N 0.500 0.500 0.500
9 Cl 0.170 0.170 0.350
10 Cl 0.830 0.830 0.650

---

23.
Density functional theory data (PBE-GGA) for a geometry-optimized Ho4BrN2Cl structure.

Results
The value obtained for the magnetization is 0.0022 μB/atom.

Unit cell a=3.524 b=3.524 c=13.657 alpha=90.00 beta=90.00 gamma=120.00
Atoms (fractional coordinates):
1 Ho 0.000 0.000 0.155
2 Ho 0.000 0.000 0.845
3 Ho 0.333 0.667 0.336
4 Ho 0.333 0.667 0.664
5 Br 0.000 0.000 0.500
6 N 0.667 0.333 0.243
7 N 0.667 0.333 0.757
8 Cl 0.333 0.667 0.000

---

| no. | electronic total energy (eV per atom) |
| --- | --- |
| 1 | -6.167 |
| 2 | -6.008 |
| 3 | -5.395 |
| 4 | -5.366 |
| 5 | -4.482 |
| 6 | -6.534 |
| 7 | -4.378 |
| 8 | -5.744 |
| 9 | -5.583 |
| 10 | -4.629 |
| 11 | -6.944 |
| 12 | -5.815 |
| 13 | -4.005 |
| 14 | -3.913 |
| 15 | -1.802 |
| 16 | -1.767 |
| 17 | -3.952 |
| 18 | -2.529 |
| 19 | -2.529 |
| 20 | -2.126 |
| 21 | -4.458 |
| 22 | -5.131 |
| 23 | -6.306 |